Entry 1:
A geometry-optimized ErAl3Fe2 structure. Source: the Alexandria database, functional GGA-PBE.

a = 5.1554 Å, b = 6.1778 Å, c = 6.1780 Å
α = 97.81°, β = 90.00°, γ = 90.00°
Atoms (fractional coordinates):
Fe 0.5000 0.7740 0.2260
Al 0.2500 0.5450 0.9190
Fe 0.0000 0.7740 0.2260
Er 0.2500 0.3582 0.3582
Al 0.7500 0.0226 0.0226
Fe 0.0000 0.2260 0.7740
Al 0.7500 0.4550 0.0810
Al 0.2500 0.9774 0.9774
Al 0.7500 0.0810 0.4550
Fe 0.5000 0.2260 0.7740
Er 0.7500 0.6418 0.6418
Al 0.2500 0.9190 0.5450

Volume   16.2 A^3/atom
Formation energy   -0.35 eV/atom
Total magnetization   5.123 μB per cell
Uncorrected energy   -34.83 eV/f.u.

=====

Entry 2:
A geometry-optimized ZnCd2Se structure. Source: the Alexandria database, functional GGA-PBE.

a = 5.0185 Å, b = 5.0185 Å, c = 5.0185 Å
α = 60.00°, β = 60.00°, γ = 60.00°
Atoms (fractional coordinates):
Cd 0.0000 0.0000 0.0000
Cd 0.2500 0.2500 0.2500
Se 0.5000 0.5000 0.5000
Zn 0.7500 0.7500 0.7500

Energy relative to the elements, uncorrected   129 meV/atom
Volume   22.3 A^3/atom
Total magnetization   0.000 μB per cell
Uncorrected energy   -6.07 eV/f.u.

=====

Entry 3:
A geometry-optimized Pm2TcO structure. Source: the Alexandria database, functional GGA-PBE.

a = 3.4654 Å, b = 3.4654 Å, c = 8.2556 Å
α = 77.88°, β = 77.88°, γ = 60.00°
Atoms (fractional coordinates):
Pm 0.1059 0.1059 0.6823
O 0.5000 0.5000 0.5000
Tc 0.0000 0.0000 0.0000
Pm 0.8941 0.8941 0.3177

Energy relative to the elements, uncorrected   -619 meV/atom
Volume   20.8 A^3/atom
Total magnetization   0.000 μB per cell
Uncorrected energy   -27.30 eV/f.u.

=====

Entry 4:
A geometry-optimized LiTbCd structure. Source: the Alexandria database, functional GGA-PBE.

a = 3.7663 Å, b = 3.7663 Å, c = 5.6690 Å
α = 109.40°, β = 109.40°, γ = 90.00°
Atoms (fractional coordinates):
Li 0.3010 0.3010 0.6020
Cd 0.9349 0.9349 0.8697
Tb 0.6142 0.6142 0.2283

Volume   23.7 A^3/atom
Formation energy   -0.13 eV/atom
Total magnetization   0.159 μB per cell
Uncorrected energy   -7.85 eV/f.u.

=====

Entry 5:
A geometry-optimized Tb3Nd3Sm structure. Source: the Alexandria database, functional GGA-PBE.

a = 8.9437 Å, b = 8.9437 Å, c = 8.9437 Å
α = 58.74°, β = 58.74°, γ = 58.74°
Atoms (fractional coordinates):
Nd 0.2809 0.4343 0.9299
Nd 0.4343 0.9299 0.2809
Nd 0.5657 0.0701 0.7191
Nd 0.7191 0.5657 0.0701
Tb 0.1747 0.9372 0.7133
Nd 0.9299 0.2809 0.4343
Sm 0.6549 0.6549 0.6549
Tb 0.8253 0.0628 0.2867
Tb 0.9372 0.7133 0.1747
Sm 0.3451 0.3451 0.3451
Tb 0.7133 0.1747 0.9372
Tb 0.2867 0.8253 0.0628
Nd 0.0701 0.7191 0.5657
Tb 0.0628 0.2867 0.8253

Volume   35.1 A^3/atom
Formation energy   0.20 eV/atom
Total magnetization   0.000 μB per cell
Uncorrected energy   -31.51 eV/f.u.

=====

Entry 6:
A geometry-optimized GaW structure. Source: the Alexandria database, functional GGA-PBE.

a = 2.7862 Å, b = 8.6048 Å, c = 5.2664 Å
α = 90.00°, β = 90.00°, γ = 90.00°
Atoms (fractional coordinates):
Ga 0.5000 0.0000 0.7608
W 0.5000 0.2760 0.0000
W 0.0000 0.7760 0.5000
Ga 0.0000 0.5000 0.2608
Ga 0.5000 0.0000 0.2392
W 0.0000 0.2240 0.5000
W 0.5000 0.7240 0.0000
Ga 0.0000 0.5000 0.7392

Volume   15.8 A^3/atom
Formation energy   0.19 eV/atom
Total magnetization   0.000 μB per cell
Uncorrected energy   -15.59 eV/f.u.

=====

Entry 7:
A geometry-optimized Mn2BiW structure. Source: the Alexandria database, functional GGA-PBE.

a = 7.0181 Å, b = 7.0181 Å, c = 5.7183 Å
α = 52.15°, β = 52.15°, γ = 90.00°
Atoms (fractional coordinates):
Mn 0.1736 0.6250 0.2500
W 0.2500 0.7500 0.5000
Mn 0.5764 0.1250 0.2500
Bi 0.0000 0.0000 0.0000
W 0.5000 0.5000 0.0000
Bi 0.7500 0.2500 0.5000
Mn 0.3750 0.4236 0.7500
Mn 0.8750 0.8264 0.7500

Volume   17.5 A^3/atom
Formation energy   1.14 eV/atom
Total magnetization   0.000 μB per cell
Uncorrected energy   -30.60 eV/f.u.

=====

Entry 8:
A geometry-optimized ZrTi2VMo structure. Source: the Alexandria database, functional GGA-PBE.

a = 4.6799 Å, b = 4.7723 Å, c = 4.6799 Å
α = 90.00°, β = 90.00°, γ = 90.00°
Atoms (fractional coordinates):
V 0.5000 0.5000 0.5000
Ti 0.0000 0.0000 0.5000
Mo 0.0000 0.5000 0.0000
Zr 0.0000 0.0000 0.0000
Ti 0.5000 0.0000 0.0000

Volume   20.9 A^3/atom
Formation energy   1.69 eV/atom
Total magnetization   0.001 μB per cell
Uncorrected energy   -35.82 eV/f.u.

=====

Entry 9:
A geometry-optimized SiH structure. Source: the Alexandria database, functional GGA-PBE.

a = 9.9055 Å, b = 3.9223 Å, c = 4.1196 Å
α = 90.00°, β = 90.00°, γ = 90.00°
Atoms (fractional coordinates):
Si 0.2783 0.1341 0.2771
Si 0.7783 0.8659 0.7771
H 0.3093 0.5524 0.7673
Si 0.2217 0.8659 0.7771
H 0.6907 0.5524 0.7673
Si 0.7217 0.1341 0.2771
Si 0.5000 0.2906 0.1379
H 0.5000 0.2277 0.7753
H 0.1907 0.4476 0.2673
H 0.0000 0.7723 0.2753
Si 0.0000 0.7094 0.6379
H 0.8093 0.4476 0.2673

Volume   13.3 A^3/atom
Total magnetization   0.000 μB per cell
Uncorrected energy   -8.20 eV/f.u.

=====

Entry 10:
A geometry-optimized SrYScMo2 structure. Source: the Alexandria database, functional GGA-PBE.

a = 4.9771 Å, b = 5.5260 Å, c = 4.9771 Å
α = 90.00°, β = 90.00°, γ = 90.00°
Atoms (fractional coordinates):
Y 0.0000 0.0000 0.0000
Sr 0.0000 0.5000 0.0000
Mo 0.0000 0.0000 0.5000
Mo 0.5000 0.0000 0.0000
Sc 0.5000 0.5000 0.5000

Volume   27.4 A^3/atom
Formation energy   1.78 eV/atom
Total magnetization   0.059 μB per cell
Uncorrected energy   -27.25 eV/f.u.

=====

Entry 11:
A geometry-optimized Zn7Cu12Ni structure. Source: the Alexandria database, functional GGA-PBE.

a = 6.4754 Å, b = 6.4754 Å, c = 6.4754 Å
α = 100.59°, β = 100.59°, γ = 100.59°
Atoms (fractional coordinates):
Cu 0.0796 0.3368 0.3372
Cu 0.7574 0.4999 0.2427
Cu 0.5001 0.7573 0.2426
Zn 0.6745 0.1035 0.1036
Ni 0.0000 0.0000 0.0000
Cu 0.3372 0.0796 0.3368
Zn 0.3255 0.8965 0.8964
Cu 0.6628 0.9204 0.6632
Cu 0.4999 0.2427 0.7574
Zn 0.8964 0.3255 0.8965
Cu 0.7573 0.2426 0.5001
Zn 0.5000 0.5000 0.5000
Cu 0.2426 0.5001 0.7573
Zn 0.8965 0.8964 0.3255
Cu 0.6632 0.6628 0.9204
Cu 0.3368 0.3372 0.0796
Zn 0.1035 0.1036 0.6745
Cu 0.2427 0.7574 0.4999
Cu 0.9204 0.6632 0.6628
Zn 0.1036 0.6745 0.1035

Volume   12.8 A^3/atom
Formation energy   -0.02 eV/atom
Total magnetization   0.000 μB per cell
Uncorrected energy   -64.27 eV/f.u.

=====

Entry 12:
A geometry-optimized Ti2Te2W structure. Source: the Alexandria database, functional GGA-PBE.

a = 3.9913 Å, b = 3.9913 Å, c = 7.3929 Å
α = 74.34°, β = 74.34°, γ = 90.00°
Atoms (fractional coordinates):
Te 0.2500 0.7500 0.5000
Ti 0.5953 0.5953 0.8094
W 0.0000 0.0000 0.0000
Ti 0.4047 0.4047 0.1906
Te 0.7500 0.2500 0.5000

Energy relative to the elements, uncorrected   818 meV/atom
Volume   21.8 A^3/atom
Total magnetization   0.000 μB per cell
Uncorrected energy   -30.94 eV/f.u.

=====

Entry 13:
A geometry-optimized PuTlBiO6 structure. Source: the Alexandria database, functional GGA-PBE.

a = 5.7022 Å, b = 5.7022 Å, c = 9.9426 Å
α = 90.00°, β = 90.00°, γ = 120.00°
Atoms (fractional coordinates):
O 0.3623 0.3320 0.3673
O 0.0303 0.6680 0.8673
O 0.3320 0.9697 0.6327
O 0.6377 0.6680 0.6327
O 0.6377 0.9697 0.8673
O 0.0303 0.3623 0.6327
O 0.3623 0.0303 0.1327
O 0.6680 0.0303 0.3673
Pu 0.3333 0.6667 0.7500
Pu 0.6667 0.3333 0.2500
Bi 0.0000 0.0000 0.5000
Tl 0.3333 0.6667 0.2500
O 0.9697 0.6377 0.3673
Bi 0.0000 0.0000 0.0000
O 0.6680 0.6377 0.1327
O 0.9697 0.3320 0.1327
O 0.3320 0.3623 0.8673
Tl 0.6667 0.3333 0.7500

Energy relative to the elements, uncorrected   -1567 meV/atom
Volume   15.6 A^3/atom
Total magnetization   4.000 μB per cell
Uncorrected energy   -64.43 eV/f.u.

=====

Entry 14:
A geometry-optimized Th2SnBi structure. Source: the Alexandria database, functional GGA-PBE.

a = 5.5371 Å, b = 5.5371 Å, c = 5.5371 Å
α = 60.00°, β = 60.00°, γ = 60.00°
Atoms (fractional coordinates):
Bi 0.5000 0.5000 0.5000
Th 0.2500 0.2500 0.2500
Sn 0.0000 0.0000 0.0000
Th 0.7500 0.7500 0.7500

Volume   30.0 A^3/atom
Formation energy   -0.44 eV/atom
Total magnetization   0.001 μB per cell
Uncorrected energy   -24.47 eV/f.u.

=====

Entry 15:
A geometry-optimized KSrTa structure. Source: the Alexandria database, functional GGA-PBE.

a = 4.1894 Å, b = 5.0221 Å, c = 26.2491 Å
α = 90.00°, β = 90.00°, γ = 90.00°
Atoms (fractional coordinates):
Ta 0.5133 0.2500 0.2216
K 0.5134 0.2500 0.0716
Sr 0.9865 0.2500 0.8140
Ta 0.4867 0.7500 0.7784
K 0.0134 0.2500 0.4284
K 0.9866 0.7500 0.5716
Sr 0.4865 0.2500 0.6860
Sr 0.0135 0.7500 0.1860
Ta 0.0133 0.2500 0.2784
Ta 0.9867 0.7500 0.7216
K 0.4866 0.7500 0.9284
Sr 0.5135 0.7500 0.3140

Volume   46.0 A^3/atom
Formation energy   0.70 eV/atom
Total magnetization   0.000 μB per cell
Uncorrected energy   -12.54 eV/f.u.

=====

Entry 16:
A geometry-optimized BaCoSe2 structure. Source: the Alexandria database, functional GGA-PBE.

a = 7.4844 Å, b = 7.4844 Å, c = 6.4460 Å
α = 54.51°, β = 54.51°, γ = 90.00°
Atoms (fractional coordinates):
Se 0.3750 0.4803 0.7500
Se 0.2303 0.6250 0.2500
Ba 0.0000 0.0000 0.0000
Ba 0.7500 0.2500 0.5000
Co 0.2500 0.7500 0.5000
Co 0.5000 0.5000 0.0000
Se 0.5197 0.1250 0.2500
Se 0.8750 0.7697 0.7500

Energy relative to the elements, uncorrected   -965 meV/atom
Volume   25.8 A^3/atom
Total magnetization   3.887 μB per cell
Uncorrected energy   -19.86 eV/f.u.

=====

Entry 17:
A geometry-optimized Sr2SbTe structure. Source: the Alexandria database, functional GGA-PBE.

a = 4.9791 Å, b = 8.1412 Å, c = 6.7653 Å
α = 33.67°, β = 90.00°, γ = 90.00°
Atoms (fractional coordinates):
Sb 0.0000 0.0000 0.5000
Sr 0.0000 0.0000 0.0000
Te 0.5000 0.5000 0.5000
Sr 0.5000 0.5000 0.0000

Energy relative to the elements, uncorrected   -1190 meV/atom
Volume   38.0 A^3/atom
Total magnetization   0.000 μB per cell
Uncorrected energy   -15.39 eV/f.u.

=====

Entry 18:
A geometry-optimized NaCl2F6 structure. Source: the Alexandria database, functional GGA-PBE.

a = 7.1567 Å, b = 7.1567 Å, c = 9.1380 Å
α = 79.04°, β = 121.40°, γ = 125.29°
Atoms (fractional coordinates):
F 0.3050 0.6904 0.8363
F 0.3457 0.0324 0.5144
F 0.6460 0.5313 0.3363
F 0.0975 0.2445 0.3387
F 0.6950 0.3096 0.1637
Cl 0.6517 0.7476 0.4083
F 0.3540 0.4687 0.6637
F 0.5943 0.2412 0.8387
F 0.9025 0.7555 0.6613
F 0.0180 0.8313 0.9856
Cl 0.1607 0.7567 0.9083
Cl 0.3483 0.2524 0.5917
Na 0.6357 0.8857 0.7500
Na 0.3643 0.1143 0.2500
F 0.4057 0.7588 0.1613
Cl 0.8393 0.2433 0.0917
F 0.6543 0.9676 0.4856
F 0.9820 0.1687 0.0144

Energy relative to the elements, uncorrected   -1031 meV/atom
Volume   17.9 A^3/atom
Total magnetization   0.000 μB per cell
Uncorrected energy   -25.52 eV/f.u.

=====

Entry 19:
A geometry-optimized ScAlRe2 structure. Source: the Alexandria database, functional GGA-PBE.

a = 5.3486 Å, b = 5.3486 Å, c = 4.4723 Å
α = 65.32°, β = 65.32°, γ = 34.23°
Atoms (fractional coordinates):
Re 0.0109 0.0109 0.9892
Re 0.7309 0.7309 0.7691
Al 0.2684 0.2684 0.2314
Sc 0.4898 0.4898 0.5103

Volume   16.2 A^3/atom
Formation energy   -0.17 eV/atom
Total magnetization   0.000 μB per cell
Uncorrected energy   -35.63 eV/f.u.

=====

Entry 20:
A geometry-optimized K2MgBeH6 structure. Source: the Alexandria database, functional GGA-PBE.

a = 5.4810 Å, b = 5.4810 Å, c = 9.4891 Å
α = 73.21°, β = 73.21°, γ = 60.00°
Atoms (fractional coordinates):
H 0.2232 0.2232 0.8717
H 0.2232 0.6818 0.8717
H 0.5913 0.5913 0.6511
K 0.8761 0.8761 0.3717
Be 0.5896 0.5896 0.2313
K 0.2882 0.2882 0.1353
Be 0.4104 0.4104 0.7687
H 0.1664 0.5913 0.6511
Mg 0.5000 0.5000 0.5000
H 0.8336 0.4087 0.3489
H 0.5913 0.1664 0.6511
K 0.1239 0.1239 0.6283
K 0.7118 0.7118 0.8647
H 0.6818 0.2232 0.8717
Mg 0.0000 0.0000 0.0000
H 0.3182 0.7768 0.1283
H 0.4087 0.4087 0.3489
H 0.4087 0.8336 0.3489
H 0.7768 0.7768 0.1283
H 0.7768 0.3182 0.1283

Volume   11.6 A^3/atom
Total magnetization   0.000 μB per cell
Uncorrected energy   -29.21 eV/f.u.